(1)
{
  "formula": "La2NiIr",
  "functional": "GGA-PBE",
  "state": "optimized geometry",
  "lattice_angstrom": [[4.2135, 0.0000, 0.0000], [0.0000, 5.9820, 0.1192], [0.0000, -2.8286, 7.4694]],
  "species": ["La", "La", "La", "La", "Ni", "Ni", "Ir", "Ir"],
  "frac_coords": [[0.7500, 0.2237, 0.4327], [0.2500, 0.7763, 0.5673], [0.2500, 0.7733, 0.0701], [0.7500, 0.2267, 0.9299], [0.2500, 0.3453, 0.2092], [0.7500, 0.6547, 0.7908], [0.7500, 0.6612, 0.2883], [0.2500, 0.3388, 0.7117]],
  "n_ef_per_ev_cell": 4.9,
  "magnetic_moment_mub_per_cell": 0.0,
  "spacegroup": "P2_1/m, No. 11",
  "delta_e_f_mev_per_atom": -563
}



(2)
{
  "formula": "La8NiIr5",
  "functional": "GGA-PBE",
  "state": "optimized geometry",
  "lattice_angstrom": [[7.3653, 0.0000, -2.5601], [-3.6618, 6.3667, -2.6187], [-0.0416, 0.0000, 7.7974]],
  "species": ["La", "La", "La", "La", "La", "La", "La", "La", "Ni", "Ir", "Ir", "Ir", "Ir", "Ir"],
  "frac_coords": [[0.1246, 0.7505, 0.9932], [0.0068, 0.1313, 0.7573], [0.7374, 0.2470, 0.3707], [0.6293, 0.3667, 0.8763], [0.5096, 0.6333, 0.2626], [0.6260, 0.8687, 0.8754], [0.2427, 0.2495, 0.3740], [0.1237, 0.7530, 0.4904], [0.2500, 0.5000, 0.7500], [0.0053, 0.3773, 0.1251], [0.8749, 0.8803, 0.2522], [0.7478, 0.6227, 0.6281], [0.5000, 0.0000, 0.5000], [0.3719, 0.1197, 0.9947]],
  "n_ef_per_ev_cell": 6.3,
  "magnetic_moment_mub_per_cell": 0.0,
  "spacegroup": "I-4, No. 82",
  "delta_e_f_mev_per_atom": -646
}



(3)
{
  "formula": "LaNiIr2",
  "functional": "GGA-PBE",
  "state": "optimized geometry",
  "lattice_angstrom": [[4.8760, 0.0128, 0.0000], [-1.5008, 4.6393, 0.0000], [0.0000, 0.0000, 3.0897]],
  "species": ["Ir", "Ir", "La", "Ni"],
  "frac_coords": [[0.0000, 0.0000, 0.0000], [0.5000, 0.5000, 0.0000], [0.5000, 0.0000, 0.5000], [0.0000, 0.5000, 0.5000]],
  "n_ef_per_ev_cell": 4.3,
  "magnetic_moment_mub_per_cell": 0.0,
  "spacegroup": "Cmmm, No. 65",
  "relative_energy_ev_per_atom": 0.638,
  "delta_e_f_mev_per_atom": 84
}



(4)
{
  "formula": "LaNiIrOs2",
  "functional": "GGA-PBE",
  "state": "optimized geometry",
  "lattice_angstrom": [[4.8554, 0.0000, 0.0000], [0.0000, 4.8856, 0.0000], [0.0000, 0.0000, 4.8554]],
  "species": ["Ni", "Ir", "Os", "Os", "La"],
  "frac_coords": [[0.5000, 0.5000, 0.5000], [0.0000, 0.5000, 0.0000], [0.0000, 0.0000, 0.5000], [0.5000, 0.0000, 0.0000], [0.0000, 0.0000, 0.0000]],
  "n_ef_per_ev_cell": 5.8,
  "magnetic_moment_mub_per_cell": 3.7,
  "spacegroup": "P4/mmm, No. 123",
  "delta_e_f_mev_per_atom": 2869
}



(5)
{
  "formula": "La2NiP4Ir3",
  "functional": "GGA-PBE",
  "state": "optimized geometry",
  "lattice_angstrom": [[4.2395, 0.0000, 0.0000], [0.0000, 4.2395, 0.0000], [0.0000, 0.0000, 9.4754]],
  "species": ["La", "La", "Ni", "P", "P", "P", "P", "Ir", "Ir", "Ir"],
  "frac_coords": [[0.5000, 0.0000, 0.2464], [0.0000, 0.5000, 0.7536], [0.5000, 0.5000, 0.5000], [0.5000, 0.5000, 0.0000], [0.0000, 0.0000, 0.0000], [0.5000, 0.0000, 0.6308], [0.0000, 0.5000, 0.3692], [0.0000, 0.0000, 0.5000], [0.5000, 0.0000, 0.8875], [0.0000, 0.5000, 0.1125]],
  "n_ef_per_ev_cell": 5.5,
  "magnetic_moment_mub_per_cell": 0.0,
  "spacegroup": "P-4m2, No. 115",
  "delta_e_f_mev_per_atom": -1005
}



(6)
{
  "formula": "LaNi2IrPb",
  "functional": "GGA-PBE",
  "state": "optimized geometry",
  "lattice_angstrom": [[4.6468, 0.0000, 0.0000], [0.0000, 6.1682, 0.0000], [0.0000, 0.0000, 4.6468]],
  "species": ["Pb", "Ni", "Ni", "Ir", "La"],
  "frac_coords": [[0.0000, 0.0000, 0.0000], [0.0000, 0.0000, 0.5000], [0.5000, 0.0000, 0.0000], [0.5000, 0.5000, 0.5000], [0.0000, 0.5000, 0.0000]],
  "n_ef_per_ev_cell": 5.7,
  "magnetic_moment_mub_per_cell": 1.2,
  "spacegroup": "P4/mmm, No. 123",
  "delta_e_f_mev_per_atom": 1203
}



(7)
{
  "formula": "LaPmNiIr",
  "functional": "GGA-PBE",
  "state": "optimized geometry",
  "lattice_angstrom": [[-3.2081, 1.0333, -2.0464], [1.1567, -2.7083, -3.1808], [-1.1717, -4.4690, 3.3790]],
  "species": ["La", "Pm", "Ni", "Ir"],
  "frac_coords": [[0.1408, 0.0000, 0.2815], [0.8619, 0.5000, 0.7238], [0.5756, 0.5000, 0.1511], [0.4218, 0.0000, 0.8435]],
  "n_ef_per_ev_cell": 3.0,
  "magnetic_moment_mub_per_cell": 0.0,
  "spacegroup": "Amm2, No. 38",
  "relative_energy_ev_per_atom": 0.000,
  "delta_e_f_mev_per_atom": -538
}



(8)
{
  "formula": "LaPmNiIr",
  "functional": "GGA-PBE",
  "state": "optimized geometry",
  "lattice_angstrom": [[-4.7338, -0.7111, -1.4522], [-1.3010, -4.2512, -2.2930], [-2.8679, -3.3438, 2.3701]],
  "species": ["Ni", "Ir", "La", "Pm"],
  "frac_coords": [[0.2500, 0.2500, 0.2500], [0.7500, 0.7500, 0.7500], [0.5000, 0.5000, 0.5000], [0.0000, 0.0000, 0.0000]],
  "n_ef_per_ev_cell": 2.7,
  "magnetic_moment_mub_per_cell": 0.0,
  "spacegroup": "F-43m, No. 216",
  "relative_energy_ev_per_atom": 0.075,
  "delta_e_f_mev_per_atom": -463
}



(9)
{
  "formula": "LaPrNiIr",
  "functional": "GGA-PBE",
  "state": "optimized geometry",
  "lattice_angstrom": [[-2.9370, 4.0935, -0.0027], [-2.9838, 0.9570, -3.9451], [-4.9952, -0.4832, 0.4439]],
  "species": ["Pr", "Ni", "Ir", "La"],
  "frac_coords": [[0.0000, 0.0000, 0.0000], [0.7500, 0.7500, 0.7500], [0.2500, 0.2500, 0.2500], [0.5000, 0.5000, 0.5000]],
  "n_ef_per_ev_cell": 2.4,
  "magnetic_moment_mub_per_cell": 0.0,
  "spacegroup": "F-43m, No. 216",
  "relative_energy_ev_per_atom": 0.091,
  "delta_e_f_mev_per_atom": -428
}



(10)
{
  "formula": "LaPrNiIr",
  "functional": "GGA-PBE",
  "state": "optimized geometry",
  "lattice_angstrom": [[4.0284, 0.0000, 0.0000], [0.0000, 4.1944, 0.0000], [-2.0142, 0.0000, 5.5606]],
  "species": ["La", "Pr", "Ni", "Ir"],
  "frac_coords": [[0.8622, 0.5000, 0.7244], [0.1398, 0.0000, 0.2796], [0.5756, 0.5000, 0.1511], [0.4224, 0.0000, 0.8449]],
  "n_ef_per_ev_cell": 2.6,
  "magnetic_moment_mub_per_cell": 0.0,
  "spacegroup": "Amm2, No. 38",
  "relative_energy_ev_per_atom": 0.000,
  "delta_e_f_mev_per_atom": -518
}



(11)
{
  "formula": "La6NiIr2Pt",
  "functional": "GGA-PBE",
  "state": "optimized geometry",
  "lattice_angstrom": [[-1.3991, -6.1900, 3.4706], [5.4095, -4.5052, 1.6671], [2.1214, -0.4617, 7.5714]],
  "species": ["La", "La", "La", "La", "La", "La", "Ni", "Ir", "Ir", "Pt"],
  "frac_coords": [[0.5780, 0.2565, 0.2500], [0.2574, 0.9151, 0.2498], [0.9155, 0.5774, 0.2503], [0.4070, 0.7524, 0.7533], [0.7516, 0.0878, 0.7535], [0.0871, 0.4072, 0.7539], [0.3374, 0.3378, 0.9876], [0.4975, 0.4977, 0.5068], [0.9961, 0.9960, 0.0115], [0.8341, 0.8338, 0.4986]],
  "n_ef_per_ev_cell": 6.9,
  "magnetic_moment_mub_per_cell": 0.0,
  "spacegroup": "P1, No. 1",
  "delta_e_f_mev_per_atom": -637
}



(12)
{
  "formula": "La2Ni3IrPt12",
  "functional": "GGA-PBE",
  "state": "optimized geometry",
  "lattice_angstrom": [[-0.4969, -9.0877, 2.9817], [5.8161, -7.5186, 1.1692], [3.3943, -5.4343, 7.1183]],
  "species": ["La", "La", "Ni", "Ni", "Ni", "Ir", "Pt", "Pt", "Pt", "Pt", "Pt", "Pt", "Pt", "Pt", "Pt", "Pt", "Pt", "Pt"],
  "frac_coords": [[0.6582, 0.6582, 0.6582], [0.3418, 0.3418, 0.3418], [0.5000, 0.0000, 0.0000], [0.0000, 0.5000, 0.0000], [0.0000, 0.0000, 0.5000], [0.0000, 0.0000, 0.0000], [0.4120, 0.4120, 0.8139], [0.9267, 0.9267, 0.3603], [0.3603, 0.9267, 0.9267], [0.8139, 0.4120, 0.4120], [0.9267, 0.3603, 0.9267], [0.4120, 0.8139, 0.4120], [0.5880, 0.5880, 0.1861], [0.0733, 0.0733, 0.6397], [0.6397, 0.0733, 0.0733], [0.1861, 0.5880, 0.5880], [0.0733, 0.6397, 0.0733], [0.5880, 0.1861, 0.5880]],
  "n_ef_per_ev_cell": 22.9,
  "magnetic_moment_mub_per_cell": 2.5,
  "spacegroup": "R-3m, No. 166",
  "delta_e_f_mev_per_atom": -76
}